1.
Below is a relaxed structure of K3CeEr2Se6, with properties calculated at the GGA-PBE level.

Unit cell a=7.3660 b=7.3660 c=8.0637 alpha=98.77 beta=98.77 gamma=120.01
Fractional positions:
K1 0.0000 0.0000 0.0000
K2 0.3348 0.6652 0.0000
K3 0.6652 0.3348 0.0000
Ce1 0.5000 0.5000 0.5000
Er1 0.1669 0.8331 0.5000
Er2 0.8331 0.1669 0.5000
Se1 0.0874 0.4314 0.2946
Se2 0.2244 0.2244 0.7053
Se3 0.4314 0.0874 0.2946
Se4 0.5686 0.9126 0.7054
Se5 0.7756 0.7756 0.2947
Se6 0.9126 0.5686 0.7054

ΔE_f (raw): -1.7256 eV per atom
space-group type: C2/m
DOS(E_F): 0.713 states/eV/atom
uncorrected energy: -4.997 eV per atom
M_tot: 1.012 μB per formula unit
mass density: 4.904 g/cm³

2.
Below is a relaxed structure of K2NpCrTe4, with properties calculated at the GGA-PBE level.

Unit cell a=7.4764 b=4.3983 c=8.5865 alpha=90.00 beta=107.33 gamma=90.00
Fractional positions:
K1 0.0000 0.0000 0.0000
K2 0.5000 0.5000 0.0000
Np1 0.0000 0.5000 0.5000
Cr1 0.5000 0.0000 0.5000
Te1 0.2544 0.0000 0.7037
Te2 0.2895 0.5000 0.3109
Te3 0.7105 0.5000 0.6891
Te4 0.7456 0.0000 0.2963

ΔE_f (raw): -0.6891 eV per atom
space-group type: P2/m
DOS(E_F): 1.050 states/eV/atom
uncorrected energy: -5.355 eV per atom
M_tot: 7.000 μB per formula unit
mass density: 5.407 g/cm³